[1]
DFT (PBE) results for crystalline LiInOs2 at its relaxed geometry.

Output
Total DFT energy (no corrections) in eV per cell: -25.0
SG: Cmm2 (35)

Lattice parameters (Å, degrees): 2.7934 2.7934 9.3621 90.00 90.00 117.25
Positions (direct):
Li  0.0000  0.0000  0.0000
In  0.5000  0.5000  0.7368
Os  0.0000  0.0000  0.4686
Os  0.5000  0.5000  0.2393


[2]
DFT (PBE) results for crystalline MnMoPb2 at its relaxed geometry.

Output
Energy relative to the lowest polymorph listed for this composition in eV/atom: 0.000
Total DFT energy (no corrections) in eV per cell: -26.0
SG: P4mm (99)

Lattice parameters (Å, degrees): 3.2012 3.2012 8.6535 90.00 90.00 90.00
Positions (direct):
Mn  0.0000  0.0000  0.0000
Mo  0.5000  0.5000  0.1336
Pb  0.0000  0.0000  0.3844
Pb  0.5000  0.5000  0.7635


[3]
DFT (PBE) results for crystalline SrCaLa2 at its relaxed geometry.

Output
Energy relative to the lowest polymorph listed for this composition in eV/atom: 0.046
Total DFT energy (no corrections) in eV per cell: -13.2
SG: Pmm2 (25)

Lattice parameters (Å, degrees): 3.8722 5.2303 8.2604 90.00 90.00 90.00
Positions (direct):
Sr  0.0000  0.0000  0.0000
Ca  0.5000  0.5000  0.7207
La  0.0000  0.0000  0.4652
La  0.5000  0.5000  0.2807


[4]
DFT (PBE) results for crystalline Ti4BeRe3 at its relaxed geometry.

Output
Total DFT energy (no corrections) in eV per cell: -75.4
SG: P4/mmm (123)

Lattice parameters (Å, degrees): 3.1345 3.1345 11.9959 90.00 90.00 90.00
Positions (direct):
Ti  0.0000  0.0000  0.1182
Ti  0.0000  0.0000  0.3704
Ti  0.0000  0.0000  0.6296
Ti  0.0000  0.0000  0.8818
Be  0.5000  0.5000  0.0000
Re  0.5000  0.5000  0.2383
Re  0.5000  0.5000  0.5000
Re  0.5000  0.5000  0.7617


[5]
DFT (PBE) results for crystalline FeCu4Ni at its relaxed geometry.

Output
Total DFT energy (no corrections) in eV per cell: -29.2
SG: F-43m (216)

Lattice parameters (Å, degrees): 4.7118 4.7118 4.7118 60.00 60.00 60.00
Positions (direct):
Fe  0.0000  0.0000  0.0000
Cu  0.3751  0.3751  0.3751
Cu  0.3751  0.3751  0.8747
Cu  0.3751  0.8747  0.3751
Cu  0.8747  0.3751  0.3751
Ni  0.7500  0.7500  0.7500


[6]
DFT (PBE) results for crystalline Be2TcW at its relaxed geometry.

Output
Energy relative to the lowest polymorph listed for this composition in eV/atom: 0.349
Total DFT energy (no corrections) in eV per cell: -30.3
SG: Cmm2 (35)

Lattice parameters (Å, degrees): 2.7048 2.7048 6.6191 90.00 90.00 99.81
Positions (direct):
Be  0.0000  0.0000  0.0000
Be  0.5000  0.5000  0.1707
Tc  0.5000  0.5000  0.7596
W  0.0000  0.0000  0.4283


[7]
DFT (PBE) results for crystalline Mg3Np3NiN8 at its relaxed geometry.

Output
E_form (uncorrected) in meV per atom: -651
Total DFT energy (no corrections) in eV per cell: -125.8
SG: C2/m (12)

Lattice parameters (Å, degrees): 6.4583 6.4583 6.3182 118.17 118.17 59.07
Positions (direct):
Mg  0.0000  0.0000  0.0000
Mg  0.0000  0.5000  0.5000
Mg  0.5000  0.0000  0.5000
Np  0.0000  0.5000  0.0000
Np  0.5000  0.0000  0.0000
Np  0.5000  0.5000  0.5000
Ni  0.0000  0.0000  0.5000
N  0.2276  0.7617  0.2761
N  0.2383  0.7724  0.7239
N  0.2481  0.2481  0.2568
N  0.2645  0.2645  0.7863
N  0.7355  0.7355  0.2137
N  0.7519  0.7519  0.7432
N  0.7617  0.2276  0.2761
N  0.7724  0.2383  0.7239


[8]
DFT (PBE) results for crystalline KInC at its relaxed geometry.

Output
Total DFT energy (no corrections) in eV per cell: -30.9
SG: Imm2 (44)

Lattice parameters (Å, degrees): 9.5372 9.5372 9.5372 155.87 48.56 138.52
Positions (direct):
K  0.0000  0.0000  0.0000
K  0.2844  0.5861  0.6984
K  0.8877  0.5861  0.3016
In  0.4296  0.0551  0.3745
In  0.5015  0.5015  0.0000
In  0.6806  0.0551  0.6255
C  0.2598  0.3931  0.8667
C  0.5264  0.3931  0.1333
C  0.6861  0.1861  0.5000


[9]
DFT (PBE) results for crystalline CdIn2SnBi at its relaxed geometry.

Output
Total DFT energy (no corrections) in eV per cell: -28.0
SG: P2_1/m (11)

Lattice parameters (Å, degrees): 6.9829 4.8065 8.7334 90.00 103.68 90.00
Positions (direct):
Cd  0.0746  0.2500  0.1058
Cd  0.9254  0.7500  0.8942
In  0.0253  0.7500  0.3517
In  0.3474  0.2500  0.4582
In  0.6526  0.7500  0.5418
In  0.9747  0.2500  0.6483
Sn  0.2946  0.7500  0.7353
Sn  0.7054  0.2500  0.2647
Bi  0.3739  0.7500  0.1240
Bi  0.6261  0.2500  0.8760


[10]
DFT (PBE) results for crystalline Be2MoSe at its relaxed geometry.

Output
E_form (uncorrected) in meV per atom: 338
Total DFT energy (no corrections) in eV per cell: -20.4
SG: Cmmm (65)

Lattice parameters (Å, degrees): 4.2981 4.2981 3.0199 90.00 90.00 110.57
Positions (direct):
Be  0.0000  0.5000  0.0000
Be  0.5000  0.0000  0.0000
Mo  0.0000  0.0000  0.5000
Se  0.5000  0.5000  0.5000


M_tot, record by record: 0.144; 0.399; 0.000; 0.000; 0.587; 0.001; 0.332; 0.000; 0.000; 0.000 μB per atom